The following is a DFT calculation (PBE) of CrRhW2 after structural relaxation.

Formation enthalpy at 0 K = 0.0930 eV per atom
M_tot = 0.00 μB/cell
Raw total energy = -10.627 eV/atom

```
CrRhW2
1.0
-1.924 -1.349 -1.335
2.346 -1.277 -0.406
-1.407 -4.762 6.839
Rh W Cr
1 2 1
direct
0.500 0.500 0.750
0.000 0.000 0.006
0.000 0.000 0.494
0.500 0.500 0.250
```